{
  "formula": "CoTcNiW",
  "functional": "PBE-GGA",
  "state": "optimized geometry",
  "formation_enthalpy_0k_ev_per_atom": 0.16,
  "energy_ev_per_atom": -8.8930,
  "magmom_total_mub_per_fu": 0.00,
  "lattice": [[0.000, 2.980, 2.980], [2.980, 0.000, 2.980], [2.980, 2.980, 0.000]],
  "species": ["Co", "Tc", "Ni", "W"],
  "frac_coords": [[0.000, 0.000, 0.000], [0.500, 0.500, 0.500], [0.750, 0.750, 0.750], [0.250, 0.250, 0.250]]
}

{
  "formula": "ZnCoTcNi",
  "functional": "PBE-GGA",
  "state": "optimized geometry",
  "formation_enthalpy_0k_ev_per_atom": 0.13,
  "energy_ev_per_atom": -6.0057,
  "magmom_total_mub_per_fu": 3.57,
  "lattice": [[0.000, 2.942, 2.942], [2.942, 0.000, 2.942], [2.942, 2.942, 0.000]],
  "species": ["Zn", "Co", "Tc", "Ni"],
  "frac_coords": [[0.000, 0.000, 0.000], [0.250, 0.250, 0.250], [0.500, 0.500, 0.500], [0.750, 0.750, 0.750]]
}

{
  "formula": "CoNiTe",
  "functional": "PBE-GGA",
  "state": "optimized geometry",
  "energy_ev_per_atom": -5.2060,
  "raw_formation_energy_ev_per_atom": 0.14,
  "magmom_total_mub_per_fu": 0.34,
  "lattice": [[1.916, 1.106, 8.609], [-1.916, 1.106, 8.609], [0.000, -2.213, 8.609]],
  "species": ["Co", "Co", "Ni", "Ni", "Te", "Te"],
  "frac_coords": [[0.103, 0.103, 0.103], [0.897, 0.897, 0.897], [0.193, 0.193, 0.193], [0.807, 0.807, 0.807], [0.396, 0.396, 0.396], [0.604, 0.604, 0.604]]
}

{
  "formula": "CoNiTe2",
  "functional": "PBE-GGA",
  "state": "optimized geometry",
  "energy_ev_per_atom": -4.6088,
  "raw_formation_energy_ev_per_atom": 0.18,
  "magmom_total_mub_per_fu": 0.45,
  "lattice": [[1.838, 1.061, 7.642], [-1.838, 1.061, 7.642], [0.000, -2.122, 7.642]],
  "species": ["Co", "Ni", "Te", "Te"],
  "frac_coords": [[0.000, 0.000, 0.000], [0.500, 0.500, 0.500], [0.394, 0.394, 0.394], [0.606, 0.606, 0.606]]
}

{
  "formula": "Co2NiTe",
  "functional": "PBE-GGA",
  "state": "optimized geometry",
  "energy_ev_per_atom": -5.6243,
  "raw_formation_energy_ev_per_atom": 0.16,
  "magmom_total_mub_per_fu": 2.08,
  "lattice": [[3.760, 0.000, 0.000], [0.000, 3.760, 0.000], [0.000, 0.000, 3.681]],
  "species": ["Co", "Co", "Ni", "Te"],
  "frac_coords": [[0.000, 0.500, 0.000], [0.500, 0.000, 0.000], [0.000, 0.000, 0.500], [0.500, 0.500, 0.500]]
}

{
  "formula": "CoNi2Te",
  "functional": "PBE-GGA",
  "state": "optimized geometry",
  "energy_ev_per_atom": -5.2036,
  "raw_formation_energy_ev_per_atom": 0.25,
  "magmom_total_mub_per_fu": 2.07,
  "lattice": [[3.284, 0.000, 0.000], [0.000, 3.297, 0.000], [0.000, 0.000, 5.161]],
  "species": ["Co", "Ni", "Ni", "Te"],
  "frac_coords": [[0.000, 0.000, 0.000], [0.500, 0.500, 0.231], [0.500, 0.500, 0.769], [0.000, 0.000, 0.500]]
}

{
  "formula": "CoNiTe2",
  "functional": "PBE-GGA",
  "state": "optimized geometry",
  "energy_ev_per_atom": -3.9360,
  "raw_formation_energy_ev_per_atom": 0.86,
  "magmom_total_mub_per_fu": 1.71,
  "lattice": [[0.000, 3.382, 3.382], [3.382, 0.000, 3.382], [3.382, 3.382, 0.000]],
  "species": ["Co", "Ni", "Te", "Te"],
  "frac_coords": [[0.000, 0.000, 0.000], [0.750, 0.750, 0.750], [0.250, 0.250, 0.250], [0.500, 0.500, 0.500]]
}

{
  "formula": "CoNiTe2",
  "functional": "PBE-GGA",
  "state": "optimized geometry",
  "energy_ev_per_atom": -4.7189,
  "raw_formation_energy_ev_per_atom": 0.07,
  "magmom_total_mub_per_fu": 0.00,
  "lattice": [[3.732, 0.000, 0.000], [0.000, 3.732, 0.000], [0.000, 0.000, 5.265]],
  "species": ["Co", "Ni", "Te", "Te"],
  "frac_coords": [[0.000, 0.000, 0.000], [0.500, 0.500, 0.500], [0.000, 0.000, 0.500], [0.500, 0.500, 0.000]]
}

{
  "formula": "Co2NiTe",
  "functional": "PBE-GGA",
  "state": "optimized geometry",
  "energy_ev_per_atom": -5.5948,
  "raw_formation_energy_ev_per_atom": 0.19,
  "magmom_total_mub_per_fu": 2.71,
  "lattice": [[-1.877, 1.877, 3.731], [1.877, -1.877, 3.731], [1.877, 1.877, -3.731]],
  "species": ["Co", "Co", "Ni", "Te"],
  "frac_coords": [[0.000, 0.000, 0.000], [0.750, 0.250, 0.500], [0.250, 0.750, 0.500], [0.500, 0.500, 0.000]]
}

{
  "formula": "CoNiTe2",
  "functional": "PBE-GGA",
  "state": "optimized geometry",
  "energy_ev_per_atom": -4.9198,
  "raw_formation_energy_ev_per_atom": -0.13,
  "magmom_total_mub_per_fu": 0.00,
  "lattice": [[3.970, 0.000, 0.000], [-1.985, 3.438, 0.000], [0.000, 0.000, 5.291]],
  "species": ["Co", "Ni", "Te", "Te"],
  "frac_coords": [[0.000, 0.000, 0.000], [0.000, 0.000, 0.500], [0.333, 0.667, 0.761], [0.667, 0.333, 0.239]]
}

{
  "formula": "Co5NiTe12",
  "functional": "PBE-GGA",
  "state": "optimized geometry",
  "energy_ev_per_atom": -4.5837,
  "raw_formation_energy_ev_per_atom": -0.19,
  "magmom_total_mub_per_fu": 0.00,
  "lattice": [[3.291, -5.652, 0.000], [3.291, 5.652, 0.000], [-0.146, 0.000, 11.624]],
  "species": ["Co", "Co", "Co", "Co", "Co", "Ni", "Te", "Te", "Te", "Te", "Te", "Te", "Te", "Te", "Te", "Te", "Te", "Te"],
  "frac_coords": [[0.000, 0.000, 0.000], [0.167, 0.833, 0.500], [0.333, 0.667, 0.000], [0.667, 0.333, 0.000], [0.833, 0.167, 0.500], [0.500, 0.500, 0.500], [0.000, 0.334, 0.886], [0.000, 0.666, 0.114], [0.158, 0.495, 0.385], [0.169, 0.169, 0.614], [0.334, 0.000, 0.886], [0.334, 0.334, 0.114], [0.495, 0.158, 0.385], [0.505, 0.842, 0.615], [0.666, 0.000, 0.114], [0.666, 0.666, 0.886], [0.831, 0.831, 0.386], [0.842, 0.505, 0.615]]
}

{
  "formula": "CoNi3Te6",
  "functional": "PBE-GGA",
  "state": "optimized geometry",
  "energy_ev_per_atom": -4.2618,
  "raw_formation_energy_ev_per_atom": 0.07,
  "magmom_total_mub_per_fu": 0.00,
  "lattice": [[6.309, 0.000, 0.000], [3.037, 6.882, 0.000], [3.066, 2.266, 6.498]],
  "species": ["Co", "Ni", "Ni", "Ni", "Te", "Te", "Te", "Te", "Te", "Te"],
  "frac_coords": [[0.000, 0.000, 0.000], [0.500, 0.000, 0.500], [0.500, 0.500, 0.000], [0.500, 0.500, 0.500], [0.254, 0.753, 0.755], [0.298, 0.732, 0.204], [0.303, 0.201, 0.734], [0.697, 0.799, 0.266], [0.702, 0.268, 0.796], [0.746, 0.247, 0.245]]
}

{
  "formula": "Co2NiTe",
  "functional": "PBE-GGA",
  "state": "optimized geometry",
  "energy_ev_per_atom": -5.5130,
  "raw_formation_energy_ev_per_atom": 0.27,
  "magmom_total_mub_per_fu": 2.57,
  "lattice": [[0.000, 2.991, 2.991], [2.991, 0.000, 2.991], [2.991, 2.991, 0.000]],
  "species": ["Co", "Co", "Ni", "Te"],
  "frac_coords": [[0.000, 0.000, 0.000], [0.250, 0.250, 0.250], [0.750, 0.750, 0.750], [0.500, 0.500, 0.500]]
}